# Be2BiOs

A geometry-optimized Be2BiOs structure (PBE, the Open Quantum Materials Database). Values from VASP.

Properties
Calculated volume ... 61.1 Å³ per cell
E ... -19.003 eV for the cell shown

```
&SYSTEM
  ibrav = 0, nat = 4, ntyp = 3
/
ATOMIC_SPECIES
Be 9.01 Be.upf
Bi 208.98 Bi.upf
Os 190.23 Os.upf
CELL_PARAMETERS angstrom
0.000 3.126 3.126
3.126 0.000 3.126
3.126 3.126 0.000
ATOMIC_POSITIONS angstrom
Be 0.000 0.000 0.000
Be 1.563 1.563 1.563
Bi 3.126 3.126 3.126
Os 4.689 4.689 4.689
```